The following is a DFT calculation (PBE+U) of CoCuIrO5 after structural relaxation.

Computed properties:
As for the total energy: -6.002 eV/atom. The magnetization is 0.3723 μB/atom.

Unit cell a=7.2630 b=8.4104 c=7.3835 alpha=90.00 beta=118.97 gamma=90.00
With the nearest neighbours (Å) after each atom.
Space group C2/c (No. 15)
Inequivalent atoms, fractional coordinates:
Co: 0.0000 0.1929 0.2500 x4  5 O 1.96-2.10
Cu: 0.0000 0.1610 0.7500 x4  4 O 1.89-1.97
Ir: 0.0000 0.5000 0.0000 x4  6 O 1.88-2.00
O: 0.0000 0.4253 0.2500 x4  2 Ir 1.95, 1 Co 1.96
O: 0.0141 0.2638 0.9844 x8  1 Cu 1.89, 1 Ir 2.00, 1 Co 2.10
O: 0.2046 0.0151 0.3532 x8  1 Ir 1.88, 1 Cu 1.97, 1 Co 1.98